(1)
CrBiPt2Br: relaxed, PBE.

Properties
- formation energy without anion corrections (eV/f.u.) = 4.815
- crystal system = tetragonal

a b c (Å): 5.116 5.116 5.729
angles (deg): 90.00 90.00 90.00
Element x y z (fractional)
Cr 0.000 0.000 0.000
Bi 0.500 0.500 0.500
Pt 0.000 0.500 0.500
Pt 0.500 0.000 0.500
Br 0.500 0.500 0.000

---

(2)
Ta2TlHg: relaxed, PBE.

Properties
- crystal system = tetragonal
- raw total energy (eV per atom) = -5.69

a b c (Å): 6.172 6.172 6.172
angles (deg): 102.91 102.91 123.59
Element x y z (fractional)
Ta 0.121 0.125 0.496
Ta 0.375 0.879 0.004
Ta 0.629 0.625 0.504
Ta 0.875 0.371 0.996
Tl 0.250 0.750 0.500
Tl 0.500 0.500 0.000
Hg 0.000 0.000 0.000
Hg 0.750 0.250 0.500

---

(3)
La6TePb2Se3: relaxed, PBE.

Properties
- formation energy without anion corrections (eV/f.u.) = -17.483
- crystal system = monoclinic

a b c (Å): 10.026 10.026 8.955
angles (deg): 102.28 102.28 26.03
Element x y z (fractional)
La 0.002 0.002 0.238
La 0.330 0.330 0.423
La 0.336 0.336 0.911
La 0.664 0.664 0.089
La 0.670 0.670 0.577
La 0.998 0.998 0.762
Te 0.500 0.500 0.500
Pb 0.165 0.165 0.830
Pb 0.835 0.835 0.170
Se 0.166 0.166 0.334
Se 0.500 0.500 0.000
Se 0.834 0.834 0.666

---

(4)
LaRhW3: relaxed, PBE.

Properties
- E above lowest polymorph (meV per atom) = 0
- crystal system = cubic

a b c (Å): 4.836 4.836 4.836
angles (deg): 90.00 90.00 90.00
Element x y z (fractional)
La 0.000 0.000 0.000
Rh 0.500 0.500 0.500
W 0.000 0.500 0.500
W 0.500 0.000 0.500
W 0.500 0.500 0.000

---

(5)
Ca2YMo: relaxed, PBE.

Properties
- E above lowest polymorph (meV per atom) = 270
- crystal system = tetragonal

a b c (Å): 3.540 3.540 9.489
angles (deg): 90.00 90.00 90.00
Element x y z (fractional)
Ca 0.000 0.000 0.201
Ca 0.000 0.000 0.799
Y 0.500 0.500 0.500
Mo 0.500 0.500 0.000

---

(6)
OsPbO4F2: relaxed, PBE.

Properties
- formation energy without anion corrections (eV/f.u.) = -4.783
- crystal system = monoclinic

a b c (Å): 7.230 7.230 5.526
angles (deg): 105.38 105.38 94.89
Element x y z (fractional)
Os 0.000 0.000 0.000
Os 0.000 0.000 0.500
Pb 0.000 0.500 0.000
Pb 0.500 0.000 0.500
O 0.127 0.792 0.439
O 0.161 0.230 0.117
O 0.208 0.873 0.061
O 0.230 0.161 0.617
O 0.770 0.839 0.383
O 0.792 0.127 0.939
O 0.839 0.770 0.883
O 0.873 0.208 0.561
F 0.000 0.500 0.500
F 0.500 0.000 0.000
F 0.500 0.500 0.000
F 0.500 0.500 0.500

---

(7)
Ba2SbAu: relaxed, PBE.

Properties
- formation energy without anion corrections (eV/f.u.) = -2.998
- crystal system = orthorhombic

a b c (Å): 7.051 7.051 7.051
angles (deg): 143.04 137.67 57.43
Element x y z (fractional)
Ba 0.000 0.000 0.000
Ba 0.717 0.217 0.500
Sb 0.426 0.426 0.000
Au 0.251 0.751 0.500

---

(8)
Zr2VFe: relaxed, PBE.

Properties
- E above lowest polymorph (meV per atom) = 432
- crystal system = tetragonal

a b c (Å): 5.797 5.797 5.797
angles (deg): 104.04 104.04 120.98
Element x y z (fractional)
Zr 0.091 0.625 0.966
Zr 0.375 0.341 0.466
Zr 0.659 0.125 0.034
Zr 0.875 0.909 0.534
V 0.250 0.750 0.500
V 0.500 0.500 0.000
Fe 0.000 0.000 0.000
Fe 0.750 0.250 0.500

---

The records above give, respectively, N(E_F) values of 0.44, 0.44, 0.47, 1.33, 0.99, 0.69, 0.26, 1.22 states/eV/atom.
The records above give, respectively, theoretical density values of 8.10, 14.75, 6.95, 11.65, 3.70, 6.26, 7.00, 6.61 g/cm³.
The records above give, respectively, M_tot values of 4.31, 0.00, 0.00, 0.00, 3.14, 2.53, 0.00, 3.39 μB/cell.